This record from the Alexandria database describes crystalline Mg2NiP2 at its relaxed geometry. The functional is GGA-PBE.

## Properties
The value obtained for the density of states at the Fermi level is 3.69 states/eV per cell. For the calculated density, the calculation gives 3.69 Mg/m³. As for the crystal system: tetragonal. The space-group type is P4/mbm, No. 127. As for the calculated formation energy: -0.363 eV/atom. As for the total energy: -4.3212 eV per atom.

Cell and atoms, written as POSCAR:
```
Mg2NiP2
1.0
6.062 0.000 0.000
0.000 6.062 0.000
0.000 0.000 4.141
Mg Ni P
4 2 4
Direct
0.183 0.317 0.000
0.317 0.817 0.000
0.683 0.183 0.000
0.817 0.683 0.000
0.000 0.000 0.500
0.500 0.500 0.500
0.132 0.632 0.500
0.368 0.132 0.500
0.632 0.868 0.500
0.868 0.368 0.500
```